(1)
Compound: KBa3Ni
Source: Alexandria via LeMat-Bulk
Functional: GGA-PBEsol
Structure: relaxed

Results
DOS at the Fermi energy   3.55 states/eV/f.u.
ρ   3.5 Mg/m³
Final energy   -0.19576 Ry/atom

Lattice parameters (Å, degrees): 6.213 6.213 6.213 90.00 90.00 90.00
Space group Pm-3m (No. 221)
Unique sites:
1 K 0.000 0.000 0.000 x1
2 Ba 0.000 0.500 0.500 x3
3 Ni 0.500 0.500 0.500 x1

***

(2)
Compound: Sr4La2MgRu2O12
Source: Alexandria via LeMat-Bulk
Functional: GGA-PBEsol
Structure: relaxed

Results
DOS at the Fermi energy   6.59 states/eV/f.u.
ρ   6.2 Mg/m³
Formation energy without anion corrections   -240 kJ/mol of atoms
Final energy   -0.54375 Ry/atom

Lattice parameters (Å, degrees): 3.837 3.837 37.875 90.00 90.00 90.00
Space group I4/mmm (No. 139)
Unique sites:
1 Sr 0.000 0.000 0.118 x4
2 Sr 0.000 0.000 0.216 x4
3 La 0.000 0.000 0.454 x4
4 Mg 0.000 0.000 0.000 x2
5 Ru 0.000 0.000 0.334 x4
6 O 0.000 0.000 0.057 x4
7 O 0.000 0.000 0.279 x4
8 O 0.000 0.000 0.389 x4
9 O 0.000 0.500 0.000 x4
10 O 0.000 0.500 0.167 x8

***

(3)
Compound: TcRuRh2
Source: Alexandria via LeMat-Bulk
Functional: GGA-PBEsol
Structure: relaxed

Results
DOS at the Fermi energy   4.07 states/eV/f.u.
ρ   12.5 Mg/m³
Final energy   -0.69441 Ry/atom
Energy above the most stable polymorph in this dataset   0.009 eV/atom

Lattice parameters (Å, degrees): 3.803 3.803 7.458 90.00 90.00 90.00
Space group I-4m2 (No. 119)
Unique sites:
1 Tc 0.000 0.000 0.000 x2
2 Ru 0.000 0.500 0.250 x2
3 Rh 0.000 0.000 0.500 x2
4 Rh 0.000 0.500 0.750 x2

***

(4)
Compound: CaCdB2
Source: Alexandria via LeMat-Bulk
Functional: GGA-PBEsol
Structure: relaxed

Results
DOS at the Fermi energy   1.11 states/eV/f.u.
ρ   4.3 Mg/m³
Final energy   -0.26738 Ry/atom

Lattice parameters (Å, degrees): 4.164 4.164 15.429 90.00 90.00 90.00
Space group I4_1/amd (No. 141, origin choice 2)
Unique sites:
1 Ca 0.000 0.250 0.375 x4
2 Cd 0.000 0.250 0.875 x4
3 B 0.000 0.000 0.000 x8

***

(5)
Compound: ZnAgCl2
Source: Alexandria via LeMat-Bulk
Functional: GGA-PBEsol
Structure: relaxed

Results
DOS at the Fermi energy   0.75 states/eV/f.u.
ρ   4.9 Mg/m³
Formation energy without anion corrections   -22 kJ/mol of atoms
Final energy   -0.18066 Ry/atom
Energy above the most stable polymorph in this dataset   0.065 eV/atom

Lattice parameters (Å, degrees): 3.626 3.748 6.065 90.00 90.00 90.00
Space group Pmmm (No. 47)
Unique sites:
1 Zn 0.000 0.000 0.000 x1
2 Ag 0.000 0.500 0.500 x1
3 Cl 0.500 0.000 0.500 x1
4 Cl 0.500 0.500 0.000 x1

***

(6)
Compound: PI2Br
Source: Alexandria via LeMat-Bulk
Functional: GGA-PBEsol
Structure: relaxed

Results
DOS at the Fermi energy   2.52 states/eV/f.u.
ρ   6.0 Mg/m³
Formation energy without anion corrections   58 kJ/mol of atoms
Final energy   -0.16175 Ry/atom

Lattice parameters (Å, degrees): 7.373 7.373 7.373 90.00 90.00 90.00
Space group Fm-3m (No. 225)
Unique sites:
1 P 0.000 0.000 0.000 x4
2 I 0.250 0.250 0.250 x8
3 Br 0.000 0.000 0.500 x4

***

(7)
Compound: La2MgAg
Source: Alexandria via LeMat-Bulk
Functional: GGA-PBEsol
Structure: relaxed

Results
DOS at the Fermi energy   4.24 states/eV/f.u.
ρ   6.4 Mg/m³
Final energy   -0.29599 Ry/atom

Lattice parameters (Å, degrees): 3.549 3.549 8.487 90.00 90.00 90.00
Space group P4mm (No. 99)
Unique sites:
1 La 0.000 0.000 0.000 x1
2 La 0.500 0.500 0.313 x1
3 Mg 0.000 0.000 0.593 x1
4 Ag 0.500 0.500 0.753 x1

***

(8)
Compound: KTcHg2
Source: Alexandria via LeMat-Bulk
Functional: GGA-PBEsol
Structure: relaxed

Results
DOS at the Fermi energy   2.63 states/eV/f.u.
ρ   10.9 Mg/m³
Final energy   -0.20564 Ry/atom
Energy above the most stable polymorph in this dataset   0.000 eV/atom

Lattice parameters (Å, degrees): 3.0177 3.0177 31.2977 90.00 90.00 120.00
Space group R-3m (No. 166, hexagonal axes)
Unique sites:
1 K 0.0000 0.0000 0.0000 x3
2 Tc 0.0000 0.0000 0.5000 x3
3 Hg 0.0000 0.0000 0.2396 x6

***

(9)
Compound: CaPbW2
Source: Alexandria via LeMat-Bulk
Functional: GGA-PBEsol
Structure: relaxed

Results
DOS at the Fermi energy   2.77 states/eV/f.u.
ρ   12.3 Mg/m³
Final energy   -0.56388 Ry/atom

Lattice parameters (Å, degrees): 3.568 4.956 9.370 90.00 90.00 90.00
Space group Imm2 (No. 44)
Unique sites:
1 Ca 0.000 0.000 0.000 x2
2 Pb 0.000 0.500 0.780 x2
3 W 0.000 0.000 0.546 x2
4 W 0.000 0.500 0.233 x2

***

(10)
Compound: CsCo3B
Source: Alexandria via LeMat-Bulk
Functional: GGA-PBEsol
Structure: relaxed

Results
DOS at the Fermi energy   8.57 states/eV/f.u.
ρ   5.5 Mg/m³
Final energy   -0.21527 Ry/atom

Lattice parameters (Å, degrees): 4.585 4.585 4.585 90.00 90.00 90.00
Space group Pm-3m (No. 221)
Unique sites:
1 Cs 0.000 0.000 0.000 x1
2 Co 0.000 0.000 0.500 x3
3 B 0.500 0.500 0.500 x1

***

(11)
Compound: TiCoSb2Te
Source: Alexandria via LeMat-Bulk
Functional: GGA-PBEsol
Structure: relaxed

Results
DOS at the Fermi energy   9.49 states/eV/f.u.
ρ   5.6 Mg/m³
Formation energy without anion corrections   115 kJ/mol of atoms
Final energy   -0.33455 Ry/atom

Lattice parameters (Å, degrees): 5.654 5.654 4.444 90.00 90.00 90.00
Space group P4/mmm (No. 123)
Unique sites:
1 Ti 0.000 0.000 0.000 x1
2 Co 0.500 0.500 0.000 x1
3 Sb 0.000 0.500 0.500 x2
4 Te 0.500 0.500 0.500 x1

***

(12)
Compound: CsAlSiO4
Source: Alexandria via LeMat-Bulk
Functional: GGA-PBEsol
Structure: relaxed

Results
DOS at the Fermi energy   0.00 states/eV/f.u.
ρ   3.7 Mg/m³
Formation energy without anion corrections   -271 kJ/mol of atoms
Final energy   -0.54013 Ry/atom

Lattice parameters (Å, degrees): 8.947 9.400 5.418 90.00 90.00 90.00
Space group Pna2_1 (No. 33)
Unique sites:
1 Cs 0.001 0.203 0.000 x4
2 Al 0.184 0.583 0.012 x4
3 Si 0.190 0.415 0.513 x4
4 O 0.009 0.411 0.513 x4
5 O 0.247 0.022 0.228 x4
6 O 0.247 0.971 0.746 x4
7 O 0.248 0.755 0.069 x4

***

(13)
Compound: OsSeS3
Source: Alexandria via LeMat-Bulk
Functional: GGA-PBEsol
Structure: relaxed

Results
DOS at the Fermi energy   5.54 states/eV/f.u.
ρ   6.5 Mg/m³
Formation energy without anion corrections   55 kJ/mol of atoms
Final energy   -0.38791 Ry/atom

Lattice parameters (Å, degrees): 4.543 4.543 4.543 90.00 90.00 90.00
Space group Pm-3m (No. 221)
Unique sites:
1 Os 0.000 0.000 0.000 x1
2 Se 0.500 0.500 0.500 x1
3 S 0.000 0.000 0.500 x3

***

(14)
Compound: MgOs2Ru
Source: Alexandria via LeMat-Bulk
Functional: GGA-PBEsol
Structure: relaxed

Results
DOS at the Fermi energy   3.42 states/eV/f.u.
ρ   14.7 Mg/m³
Final energy   -0.65009 Ry/atom

Lattice parameters (Å, degrees): 9.204 2.739 4.619 90.00 100.47 90.00
Space group C2/m (No. 12)
Unique sites:
1 Mg 0.000 0.000 0.000 x2
2 Os 0.237 0.000 0.742 x4
3 Ru 0.000 0.500 0.500 x2

***

(15)
Compound: Fe2Se
Source: Alexandria via LeMat-Bulk
Functional: GGA-PBEsol
Structure: relaxed

Results
DOS at the Fermi energy   1.18 states/eV/f.u.
ρ   7.1 Mg/m³
Formation energy without anion corrections   -19 kJ/mol of atoms
Final energy   -0.54806 Ry/atom
Energy above the most stable polymorph in this dataset   0.000 eV/atom

Lattice parameters (Å, degrees): 3.428 14.888 3.487 90.00 90.00 90.00
Space group Cmcm (No. 63)
Unique sites:
1 Fe 0.000 0.050 0.250 x4
2 Fe 0.000 0.447 0.250 x4
3 Se 0.000 0.341 0.750 x4

***

(16)
Compound: CaGaSn
Source: Alexandria via LeMat-Bulk
Functional: GGA-PBEsol
Structure: relaxed

Results
DOS at the Fermi energy   0.35 states/eV/f.u.
ρ   5.1 Mg/m³
Final energy   -0.27902 Ry/atom

Lattice parameters (Å, degrees): 4.4540 4.4540 17.2431 90.00 90.00 120.00
Space group P6_3/mmc (No. 194)
Unique sites:
1 Ca 0.0000 0.0000 0.0000 x2
2 Ca 0.0000 0.0000 0.2500 x2
3 Ga 0.3333 0.6667 0.1657 x4
4 Sn 0.3333 0.6667 0.6135 x4

***

(17)
Compound: MgCdHg2
Source: Alexandria via LeMat-Bulk
Functional: GGA-PBEsol
Structure: relaxed

Results
DOS at the Fermi energy   1.36 states/eV/f.u.
ρ   10.3 Mg/m³
Final energy   -0.08475 Ry/atom

Lattice parameters (Å, degrees): 9.322 3.310 5.731 90.00 102.46 90.00
Space group C2/m (No. 12)
Unique sites:
1 Mg 0.000 0.000 0.000 x2
2 Cd 0.000 0.500 0.500 x2
3 Hg 0.246 0.500 0.243 x4

***

(18)
Compound: Ta3Co5B2
Source: Alexandria via LeMat-Bulk
Functional: GGA-PBEsol
Structure: relaxed

Results
DOS at the Fermi energy   8.45 states/eV/f.u.
ρ   12.9 Mg/m³
Final energy   -0.69711 Ry/atom

Lattice parameters (Å, degrees): 8.321 8.321 3.205 90.00 90.00 90.00
Space group P4/mbm (No. 127)
Unique sites:
1 Ta 0.000 0.000 0.000 x2
2 Ta 0.175 0.325 0.000 x4
3 Co 0.000 0.500 0.500 x2
4 Co 0.070 0.780 0.500 x8
5 B 0.119 0.619 0.000 x4

***

(19)
Compound: BePOs2
Source: Alexandria via LeMat-Bulk
Functional: GGA-PBEsol
Structure: relaxed

Results
DOS at the Fermi energy   3.00 states/eV/f.u.
ρ   14.1 Mg/m³
Final energy   -0.62381 Ry/atom

Lattice parameters (Å, degrees): 2.7952 2.7952 21.9000 90.00 90.00 120.00
Space group R-3m (No. 166, hexagonal axes)
Unique sites:
1 Be 0.0000 0.0000 0.0000 x3
2 P 0.0000 0.0000 0.5000 x3
3 Os 0.0000 0.0000 0.2477 x6

***

(20)
Compound: HfBePtN2
Source: Alexandria via LeMat-Bulk
Functional: GGA-PBEsol
Structure: relaxed

Results
DOS at the Fermi energy   2.75 states/eV/f.u.
ρ   11.0 Mg/m³
Formation energy without anion corrections   92 kJ/mol of atoms
Final energy   -0.49649 Ry/atom

Lattice parameters (Å, degrees): 3.968 3.968 3.951 90.00 90.00 90.00
Space group P4/mmm (No. 123)
Unique sites:
1 Hf 0.000 0.000 0.000 x1
2 Be 0.500 0.500 0.000 x1
3 Pt 0.500 0.500 0.500 x1
4 N 0.000 0.500 0.500 x2